[1]
Here is a relaxed structure of Pm3NdBi4 from Alexandria. Energies are from PBE.

a b c (Å): 6.4821 6.4821 6.4821
angles (deg): 90.00 90.00 90.00
Atoms (fractional coordinates):
Bi 0.5000 0.5000 0.5000
Bi 0.0000 0.5000 0.0000
Bi 0.5000 0.0000 0.0000
Bi 0.0000 0.0000 0.5000
Nd 0.0000 0.0000 0.0000
Pm 0.0000 0.5000 0.5000
Pm 0.5000 0.0000 0.5000
Pm 0.5000 0.5000 0.0000

- Fermi-level density of states (states/eV/atom) = 0.058
- total magnetic moment (μB per formula unit) = 0.00
- total energy (eV/atom) = -5.267
- ΔE_f (eV per atom) = -0.949
- E above lowest polymorph (meV per atom) = 0.0
- SG = Pm-3m, No. 221

***

[2]
Here is a relaxed structure of Rb3SrCd2Br9 from Alexandria. Energies are from PBE.

a b c (Å): 8.0135 8.0135 10.1022
angles (deg): 90.00 90.00 120.00
Atoms (fractional coordinates):
Br 0.8307 0.1693 0.6836
Br 0.1693 0.3386 0.3164
Br 0.5000 0.0000 0.0000
Br 0.1693 0.8307 0.3164
Br 0.5000 0.5000 0.0000
Br 0.8307 0.6614 0.6836
Br 0.0000 0.5000 0.0000
Br 0.6614 0.8307 0.3164
Br 0.3386 0.1693 0.6836
Cd 0.6667 0.3333 0.8370
Cd 0.3333 0.6667 0.1630
Rb 0.0000 0.0000 0.0000
Rb 0.6667 0.3333 0.2892
Rb 0.3333 0.6667 0.7108
Sr 0.0000 0.0000 0.5000

- Fermi-level density of states (states/eV/atom) = 0.000
- total magnetic moment (μB per formula unit) = 0.00
- total energy (eV/atom) = -2.868
- formation energy without anion corrections (meV/atom) = -1437
- SG = P-3m1, No. 164

***

[3]
Here is a relaxed structure of NiGeSbN2 from Alexandria. Energies are from PBE.

a b c (Å): 4.0395 4.9670 4.0395
angles (deg): 90.00 90.00 90.00
Atoms (fractional coordinates):
Ge 0.5000 0.5000 0.5000
Sb 0.0000 0.0000 0.0000
N 0.0000 0.0000 0.5000
N 0.5000 0.0000 0.0000
Ni 0.0000 0.5000 0.0000

- Fermi-level density of states (states/eV/atom) = 0.873
- total magnetic moment (μB per formula unit) = 0.00
- total energy (eV/atom) = -4.782
- formation energy without anion corrections (meV/atom) = 1452
- SG = P4/mmm, No. 123

***

[4]
Here is a relaxed structure of TcPd2Pt2 from Alexandria. Energies are from PBE.

a b c (Å): 3.6247 3.6247 7.1729
angles (deg): 75.36 75.36 90.00
Each line ends with the local moment (μB).
Atoms (fractional coordinates):
Pd 0.4037 0.4037 0.1925  0.13
Pd 0.5963 0.5963 0.8075  0.13
Pt 0.7500 0.2500 0.5000  -0.01
Pt 0.2500 0.7500 0.5000  -0.01
Tc 0.0000 0.0000 0.0000  2.66

- Fermi-level density of states (states/eV/atom) = 1.258
- total magnetic moment (μB per formula unit) = 3.18
- total energy (eV/atom) = -6.000
- ΔE_f (eV per atom) = 0.567
- E above lowest polymorph (meV per atom) = 707.6
- SG = I4/mmm, No. 139

***

[5]
Here is a relaxed structure of Ac5TcN6 from Alexandria. Energies are from PBE.

a b c (Å): 6.4273 6.4921 6.4656
angles (deg): 59.86 80.17 70.12
Each line ends with the local moment (μB).
Atoms (fractional coordinates):
N 0.7847 0.3561 0.7163  0.04
N 0.2153 0.6439 0.2837  0.04
N 0.7537 0.7693 0.0000  0.01
N 0.2153 0.9276 0.7163  0.04
N 0.7847 0.0724 0.2837  0.04
N 0.2463 0.2307 0.0000  0.01
Ac 0.0000 0.3318 0.3364  0.00
Ac 0.0000 0.6682 0.6636  0.00
Ac 0.5000 0.1604 0.6791  -0.01
Ac 0.5000 0.5000 0.0000  -0.01
Ac 0.5000 0.8396 0.3209  -0.01
Tc 0.0000 0.0000 0.0000  0.58

- Fermi-level density of states (states/eV/atom) = 0.498
- total magnetic moment (μB per formula unit) = 0.74
- total energy (eV/atom) = -7.434
- formation energy without anion corrections (meV/atom) = -696
- SG = C2/m, No. 12

***

[6]
Here is a relaxed structure of Tb3NdC from Alexandria. Energies are from PBE.

a b c (Å): 5.0949 5.0949 5.0949
angles (deg): 90.00 90.00 90.00
Atoms (fractional coordinates):
Tb 0.5000 0.0000 0.0000
Tb 0.0000 0.0000 0.5000
Tb 0.0000 0.5000 0.0000
C 0.0000 0.0000 0.0000
Nd 0.5000 0.5000 0.5000

- Fermi-level density of states (states/eV/atom) = 1.053
- total magnetic moment (μB per formula unit) = 0.00
- total energy (eV/atom) = -5.573
- ΔE_f (eV per atom) = 0.003
- SG = Pm-3m, No. 221

***

- Look up the Fermi-level density of states of the fourth one.
  1.258 states/eV/atom